## Tl3Fe2F7 (PBE with a Hubbard U)

Data for crystalline Tl3Fe2F7 at its relaxed geometry.

```
12
Lattice="2.153 -11.236 0.000 2.153 11.236 0.000 0.000 0.000 4.250" Properties=species:S:1:pos:R:3 pbc="T T T"
Tl 0.000 0.000 0.000
Tl 2.153 7.159 0.000
Tl 2.153 -7.159 0.000
Fe 2.153 2.096 2.125
Fe 2.153 -2.096 2.125
F 2.153 9.148 2.125
F 2.153 4.098 2.125
F 2.153 2.085 0.000
F 2.153 0.000 2.125
F 2.153 -2.085 0.000
F 2.153 -4.098 2.125
F 2.153 -9.148 2.125
```

Values from the calculation:
Its crystal system is orthorhombic. As for the total energy: -4.742 eV/atom. As for the space group: Cmmm.